ZnB4Pb: optimized geometry, PBE.

Lattice parameters (Å, degrees): 5.308 5.308 5.308 146.22 119.43 71.19
Positions (direct):
B 0.591 0.256 0.335
B 0.079 0.744 0.335
B 0.921 0.256 0.665
B 0.409 0.744 0.665
Pb 0.500 0.500 0.000
Zn 0.000 0.000 0.000

Properties
Raw total energy in eV per atom: -4.661